# 1
! TbSmDy2 PBE relaxed; values from VASP
&SYSTEM
  ibrav = 0, nat = 8, ntyp = 3
/
ATOMIC_SPECIES
Tb 158.93 Tb.upf
Sm 150.36 Sm.upf
Dy 162.50 Dy.upf
ATOMIC_POSITIONS angstrom
Tb 0.000 0.000 0.000
Tb 1.819 5.703 3.140
Sm 0.000 5.703 0.009
Sm 1.819 0.000 3.149
Dy 0.000 2.861 4.195
Dy 0.000 8.546 4.195
Dy 1.819 2.843 1.055
Dy 1.819 8.564 1.055
CELL_PARAMETERS angstrom
3.638 0.000 0.000
0.000 11.407 0.000
0.000 0.000 6.280
! - Uncorrected energy: -4.62 eV/atom
! - Space-group type: Imm2, No. 44
! - Formation energy from the elements: 0.018 eV/atom

***

# 2
! Tb2Sm6Dy3 PBE relaxed; values from VASP
&SYSTEM
  ibrav = 0, nat = 11, ntyp = 3
/
ATOMIC_SPECIES
Tb 158.93 Tb.upf
Sm 150.36 Sm.upf
Dy 162.50 Dy.upf
ATOMIC_POSITIONS angstrom
Tb 0.532 3.046 0.343
Tb 2.609 1.922 7.132
Sm -1.532 4.146 3.056
Sm 0.519 -0.280 1.710
Sm -0.493 3.580 6.461
Sm 3.633 1.388 1.014
Sm 2.622 5.248 5.765
Sm 4.672 0.822 4.419
Dy 1.559 -0.829 5.099
Dy 1.570 2.484 3.738
Dy 1.582 5.797 2.376
CELL_PARAMETERS angstrom
6.223 0.000 0.000
-2.047 7.741 0.000
-1.036 -2.773 7.475
! - Uncorrected energy: -4.66 eV/atom
! - Space-group type: P-1, No. 2
! - Formation energy from the elements: 0.015 eV/atom

***

# 3
! Tb6Sm16Dy7 PBE relaxed; values from VASP
&SYSTEM
  ibrav = 0, nat = 29, ntyp = 3
/
ATOMIC_SPECIES
Tb 158.93 Tb.upf
Sm 150.36 Sm.upf
Dy 162.50 Dy.upf
ATOMIC_POSITIONS angstrom
Tb 7.946 7.946 3.662
Tb 7.946 3.662 7.946
Tb 12.231 7.946 7.946
Tb 3.662 7.946 7.946
Tb 7.946 12.231 7.946
Tb 7.946 7.946 12.231
Sm 9.930 5.963 5.963
Sm 2.389 2.389 2.389
Sm 5.558 5.558 2.389
Sm 5.558 2.389 5.558
Sm 5.963 5.963 5.963
Sm 9.930 9.930 5.963
Sm 9.930 5.963 9.930
Sm 13.504 10.335 10.335
Sm 2.389 5.558 5.558
Sm 5.963 9.930 5.963
Sm 5.963 5.963 9.930
Sm 9.930 9.930 9.930
Sm 10.335 13.504 10.335
Sm 10.335 10.335 13.504
Sm 13.504 13.504 13.504
Sm 5.963 9.930 9.930
Dy 3.973 3.973 0.000
Dy 3.973 0.000 3.973
Dy 7.946 3.973 3.973
Dy 0.000 3.973 3.973
Dy 3.973 7.946 3.973
Dy 3.973 3.973 7.946
Dy 7.946 7.946 7.946
CELL_PARAMETERS angstrom
0.000 7.946 7.946
7.946 0.000 7.946
7.946 7.946 0.000
! - Uncorrected energy: -4.45 eV/atom
! - Space-group type: Fm-3m, No. 225
! - Formation energy from the elements: 0.220 eV/atom

***

# 4
! TbSm2Dy PBE relaxed; values from VASP
&SYSTEM
  ibrav = 0, nat = 16, ntyp = 3
/
ATOMIC_SPECIES
Tb 158.93 Tb.upf
Sm 150.36 Sm.upf
Dy 162.50 Dy.upf
ATOMIC_POSITIONS angstrom
Tb 0.000 0.000 0.000
Tb 0.000 4.042 4.042
Tb 4.042 0.000 4.042
Tb 4.042 4.042 0.000
Sm 2.021 2.021 2.021
Sm 2.021 2.021 6.062
Sm 2.021 6.062 2.021
Sm 2.021 6.062 6.062
Sm 6.062 2.021 2.021
Sm 6.062 2.021 6.062
Sm 6.062 6.062 2.021
Sm 6.062 6.062 6.062
Dy 0.000 0.000 4.042
Dy 0.000 4.042 0.000
Dy 4.042 0.000 0.000
Dy 4.042 4.042 4.042
CELL_PARAMETERS angstrom
8.083 0.000 0.000
0.000 8.083 0.000
0.000 0.000 8.083
! - Uncorrected energy: -4.53 eV/atom
! - Space-group type: Fm-3m, No. 225
! - Formation energy from the elements: 0.136 eV/atom

***

# 5
! Tb7Sm2Dy4 PBE relaxed; values from VASP
&SYSTEM
  ibrav = 0, nat = 13, ntyp = 3
/
ATOMIC_SPECIES
Tb 158.93 Tb.upf
Sm 150.36 Sm.upf
Dy 162.50 Dy.upf
ATOMIC_POSITIONS angstrom
Tb 0.000 0.000 0.000
Tb -1.088 1.885 2.894
Tb -1.954 3.385 10.395
Tb 2.176 0.000 2.894
Tb 1.088 1.885 10.395
Tb 3.909 0.000 10.395
Tb 1.954 3.385 2.894
Sm 0.000 3.513 0.000
Sm 3.043 1.757 0.000
Dy 0.000 0.000 5.239
Dy 0.000 0.000 8.049
Dy 0.000 3.513 6.644
Dy 3.043 1.757 6.644
CELL_PARAMETERS angstrom
6.085 0.000 0.000
-3.043 5.270 0.000
0.000 0.000 13.289
! - Uncorrected energy: -4.46 eV/atom
! - Space-group type: P-31m, No. 162
! - Formation energy from the elements: 0.174 eV/atom

***

# 6
! TbSm2Dy4 PBE relaxed; values from VASP
&SYSTEM
  ibrav = 0, nat = 14, ntyp = 3
/
ATOMIC_SPECIES
Tb 158.93 Tb.upf
Sm 150.36 Sm.upf
Dy 162.50 Dy.upf
ATOMIC_POSITIONS angstrom
Tb 0.000 0.000 0.000
Tb 8.408 1.770 0.000
Sm -0.703 0.000 3.267
Sm 4.743 1.770 4.339
Sm 7.705 1.770 3.267
Sm 13.151 0.000 4.339
Dy -1.255 1.770 6.410
Dy 2.164 1.770 2.228
Dy 1.876 0.000 5.378
Dy 5.295 0.000 1.196
Dy 7.153 0.000 6.410
Dy 10.572 0.000 2.228
Dy 10.284 1.770 5.378
Dy 13.703 1.770 1.196
CELL_PARAMETERS angstrom
16.815 0.000 0.000
0.000 3.539 0.000
-4.367 0.000 7.606
! - Uncorrected energy: -4.59 eV/atom
! - Space-group type: C2/m, No. 12
! - Formation energy from the elements: 0.046 eV/atom